Entry i
Material: AcPaC
Method: DFT, PBE-GGA
State: relaxed

Geometry as POSCAR:
```
AcPaC
1.0
3.6987 0.0000 0.0000
-1.8494 3.2032 0.0000
0.0000 0.0000 6.5033
Ac Pa C
1 1 1
Direct
0.0000 0.0000 0.0814
0.3333 0.6667 0.5400
0.6667 0.3333 0.3786
```

- space-group type = P3m1
- M_tot (μB per atom) = 0.371

---

Entry ii
Material: AcPaC
Method: DFT, PBE-GGA
State: relaxed

Geometry as POSCAR:
```
AcPaC
1.0
6.9580 -0.2854 0.0000
-1.4623 6.8086 0.0000
-2.7478 -3.2616 5.8910
C Pa Ac
4 4 4
Direct
0.8219 0.1781 0.0000
0.0719 0.9281 0.5000
0.1781 0.8219 0.0000
0.4281 0.5719 0.5000
0.8783 0.8783 0.7566
0.1217 0.1217 0.2434
0.1283 0.6283 0.2566
0.3717 0.8717 0.7434
0.6250 0.3750 0.7500
0.1250 0.3750 0.7500
0.6250 0.8750 0.2500
0.6250 0.3750 0.2500
```

- space-group type = Fddd
- M_tot (μB per atom) = 0.000

---

It is entry ii that is the least stable of them.

---

Entry i
Material: AcPmC
Method: DFT, PBE-GGA
State: relaxed

Geometry as POSCAR:
```
AcPmC
1.0
3.6083 0.0000 0.0000
-1.8041 6.0811 0.0000
0.0000 0.0000 7.0749
Pm C Ac
2 2 2
Direct
0.5000 0.0000 0.5000
0.5000 0.0000 0.0000
0.0746 0.1493 0.2500
0.9254 0.8507 0.7500
0.2559 0.5119 0.7500
0.7441 0.4881 0.2500
```

- space-group type = Cmcm
- M_tot (μB per atom) = 0.000

---

Entry ii
Material: AcPmC
Method: DFT, PBE-GGA
State: relaxed

Geometry as POSCAR:
```
AcPmC
1.0
3.3867 0.0000 0.0000
0.0000 3.3867 0.0000
-1.6933 -1.6933 6.5828
Ac C Pm
1 1 1
Direct
0.0539 0.0539 0.1078
0.6699 0.6699 0.3397
0.2762 0.2762 0.5525
```

- space-group type = I4mm
- M_tot (μB per atom) = 0.000

---

It is entry ii that is the least stable of them.

---

Entry i
Material: AcPm2C
Method: DFT, PBE-GGA
State: relaxed

Geometry as POSCAR:
```
AcPm2C
1.0
3.7625 0.0000 0.0000
1.8812 3.2584 0.0000
1.8812 1.0861 9.5942
Ac C Pm
1 1 2
Direct
0.5000 0.5000 0.5000
0.0000 0.0000 0.0000
0.7152 0.7152 0.8544
0.2848 0.2848 0.1456
```

- space-group type = R-3m
- M_tot (μB per atom) = 0.000

---

Entry ii
Material: AcPm2C
Method: DFT, PBE-GGA
State: relaxed

Geometry as POSCAR:
```
AcPm2C
1.0
-2.8838 -0.5951 2.3424
3.3881 -1.4364 0.7839
3.0620 8.8689 3.0054
Ac Pm C
1 2 1
Direct
0.6725 0.8359 0.5085
0.7609 0.3806 0.1415
0.2345 0.6172 0.8517
0.9988 0.9994 0.9982
```

- space-group type = R3m
- M_tot (μB per atom) = 0.000

---

It is entry i that is the least stable of them.

---

Entry i
Material: AcPuC
Method: DFT, PBE-GGA
State: relaxed

Geometry as POSCAR:
```
AcPuC
1.0
-5.9855 -2.3479 1.7283
1.3532 -1.0707 3.2316
-1.4228 3.3557 -0.3689
Ac C Pu
1 1 1
Direct
0.5707 0.6667 0.3333
0.3035 0.3333 0.6667
0.1258 0.0000 0.0000
```

- space-group type = P3m1
- M_tot (μB per atom) = 1.809

---

Entry ii
Material: AcPuC
Method: DFT, PBE-GGA
State: relaxed

Geometry as POSCAR:
```
AcPuC
1.0
4.5751 0.0000 0.0000
2.2875 3.9621 0.0000
2.2875 1.3207 3.7355
Ac C Pu
1 1 1
Direct
0.5000 0.5000 0.5000
0.2500 0.2500 0.2500
0.0000 0.0000 0.0000
```

- space-group type = F-43m
- M_tot (μB per atom) = 1.964

---

It is entry ii that is the least stable of them.

---

Entry i
Material: AcPuC
Method: DFT, PBE-GGA
State: relaxed

Geometry as POSCAR:
```
AcPuC
1.0
-0.0243 0.0520 3.3322
1.5955 -2.9253 0.0573
4.6532 4.4029 -1.7014
Ac C Pu
1 1 1
Direct
0.9632 0.9632 0.9264
0.3091 0.3091 0.6181
0.7277 0.7277 0.4555
```

- space-group type = I4mm
- M_tot (μB per atom) = 1.631

---

Entry ii
Material: AcPuC
Method: DFT, PBE-GGA
State: relaxed

Geometry as POSCAR:
```
AcPuC
1.0
7.2714 0.0000 0.0000
0.0000 6.8611 1.5068
0.0000 -0.3184 6.2140
C Pu Ac
4 4 4
Direct
0.6226 0.9894 0.7258
0.1226 0.0106 0.7742
0.3774 0.0106 0.2742
0.8774 0.9894 0.2258
0.3596 0.8182 0.6257
0.1404 0.8182 0.1257
0.6404 0.1818 0.3743
0.8596 0.1818 0.8743
0.6088 0.7509 0.1250
0.8912 0.7509 0.6250
0.3912 0.2491 0.8750
0.1088 0.2491 0.3750
```

- space-group type = P2_1/c
- M_tot (μB per atom) = 1.893

---

It is entry i that is the least stable of them.

---

Entry i
Material: AcPu2C
Method: DFT, PBE-GGA
State: relaxed

Geometry as POSCAR:
```
AcPu2C
1.0
-1.6677 -1.6126 2.3204
-1.6766 -1.6041 -2.3198
6.2279 -6.4750 -0.0239
Ac C Pu
1 1 2
Direct
0.5000 0.5000 0.5000
0.5000 0.5000 0.0000
0.0000 0.0000 0.8507
0.0000 0.0000 0.1493
```

- space-group type = P4/mmm
- M_tot (μB per atom) = 2.666

---

Entry ii
Material: AcPu2C
Method: DFT, PBE-GGA
State: relaxed

Geometry as POSCAR:
```
AcPu2C
1.0
-2.4968 2.6229 1.6524
-2.7975 -1.2449 2.5432
2.5489 1.3129 6.5615
Ac C Pu
1 1 2
Direct
0.5000 0.5000 0.5000
0.0000 0.0000 0.0000
0.3121 0.3121 0.0638
0.6879 0.6879 0.9362
```

- space-group type = R-3m
- M_tot (μB per atom) = 0.361

---

It is entry i that is the least stable of them.

---

Entry i
Material: AcReC2
Method: DFT, PBE-GGA
State: relaxed

Geometry as POSCAR:
```
AcReC2
1.0
-2.7683 1.6662 0.8537
-2.0514 -1.2478 2.3245
1.4323 3.0215 5.2884
Re Ac C
1 1 2
Direct
0.0000 0.0000 0.0000
0.5000 0.5000 0.5000
0.2726 0.2726 0.1822
0.7274 0.7274 0.8178
```

- space-group type = R-3m
- M_tot (μB per atom) = 0.000

---

Entry ii
Material: AcReC2
Method: DFT, PBE-GGA
State: relaxed

Geometry as POSCAR:
```
AcReC2
1.0
3.3612 0.0012 0.0007
-0.0006 3.3630 -0.0010
-1.6798 -1.6786 5.7950
Ac Re C
1 1 2
Direct
0.2212 0.8815 0.2283
0.4713 0.6312 0.7283
0.8775 0.5371 0.5404
0.5652 0.2248 0.9158
```

- space-group type = I-4m2
- M_tot (μB per atom) = 0.000

---

It is entry i that is the least stable of them.

---

Entry i
Material: AcRh3C
Method: DFT, PBE-GGA
State: relaxed

Geometry as POSCAR:
```
AcRh3C
1.0
-1.8445 2.8470 -2.6835
0.9738 -2.5393 -3.3633
-3.7892 -2.0384 0.4419
Ac Rh C
1 3 1
Direct
0.5000 0.5000 0.5000
0.0000 0.5000 0.0000
0.0000 0.0000 0.5000
0.5000 0.0000 0.0000
0.0000 0.0000 0.0000
```

- space-group type = Pm-3m
- M_tot (μB per atom) = 0.000

---

Entry ii
Material: AcRh3C
Method: DFT, PBE-GGA
State: relaxed

Geometry as POSCAR:
```
AcRh3C
1.0
5.2847 0.0001 -0.0002
-0.0001 6.1350 0.0000
0.0003 -3.0677 5.3133
Ac Rh C
2 6 2
Direct
0.7500 0.6667 0.3334
0.2500 0.3333 0.6667
0.7500 0.6949 0.8474
0.2500 0.8474 0.6949
0.2500 0.3051 0.1526
0.7500 0.1526 0.3051
0.2500 0.8474 0.1525
0.7500 0.1526 0.8475
0.0000 0.0000 0.0000
0.5000 0.0000 0.0000
```

- space-group type = P6_3/mmc
- M_tot (μB per atom) = 0.000

---

It is entry ii that is the least stable of them.

---

Entry i
Material: AcRuC
Method: DFT, PBE-GGA
State: relaxed

Geometry as POSCAR:
```
AcRuC
1.0
5.0220 0.0000 0.0000
0.0000 3.5613 0.0000
0.0000 -1.7807 3.0842
Ru Ac C
1 1 1
Direct
0.1669 0.3333 0.6667
0.6673 0.6667 0.3333
0.1658 0.0000 0.0000
```

- space-group type = P3m1
- M_tot (μB per atom) = 0.000

---

Entry ii
Material: AcRuC
Method: DFT, PBE-GGA
State: relaxed

Geometry as POSCAR:
```
AcRuC
1.0
-1.0202 -0.7494 4.2907
3.7740 1.3147 1.1273
-2.9429 6.4362 2.3517
Ac Ru C
2 2 2
Direct
0.8754 0.7500 0.2836
0.1246 0.2500 0.7164
0.4813 0.2500 0.0940
0.5187 0.7500 0.9060
0.2848 0.2499 0.3373
0.7152 0.7501 0.6627
```

- space-group type = P2_1/m
- M_tot (μB per atom) = 0.000

---

Entry iii
Material: AcRuC
Method: DFT, PBE-GGA
State: relaxed

Geometry as POSCAR:
```
AcRuC
1.0
3.3931 -0.8974 -0.1894
-0.9002 3.3961 0.1923
0.7297 1.7199 5.1835
Ac Ru C
1 1 1
Direct
0.9722 0.9890 0.0368
0.4783 0.9978 0.5258
0.1728 0.3864 0.4440
```

- space-group type = P1
- M_tot (μB per atom) = 0.000

---

It is entry i that is the least stable of them.

---

Entry i
Material: Ac3TlC
Method: DFT, PBE-GGA
State: relaxed

Geometry as POSCAR:
```
Ac3TlC
1.0
4.1305 0.0000 0.0000
0.0000 8.6615 -1.5990
0.0000 0.1795 9.3628
Ac Tl C
6 2 2
Direct
0.7500 0.6469 0.3983
0.2500 0.3531 0.6017
0.7500 0.2723 0.9182
0.2500 0.9442 0.6605
0.2500 0.7277 0.0818
0.7500 0.0558 0.3395
0.2500 0.3538 0.2158
0.7500 0.6462 0.7842
0.2500 0.8450 0.3616
0.7500 0.1550 0.6384
```

- space-group type = P2_1/m
- M_tot (μB per atom) = 0.000

---

Entry ii
Material: Ac3TlC
Method: DFT, PBE-GGA
State: relaxed

Geometry as POSCAR:
```
Ac3TlC
1.0
-1.0052 -0.2227 5.3766
4.7071 -2.6871 0.7687
2.6079 4.7642 0.6850
C Ac Tl
1 3 1
Direct
0.0000 0.0000 0.0000
0.0000 0.5000 0.0000
0.0000 0.0000 0.5000
0.5000 0.0000 0.0000
0.5000 0.5000 0.5000
```

- space-group type = Pm-3m
- M_tot (μB per atom) = 0.000

---

It is entry i that is the least stable of them.

---

Entry i
Material: AcUC
Method: DFT, PBE-GGA
State: relaxed

Geometry as POSCAR:
```
AcUC
1.0
-3.2946 1.3819 -1.0588
-2.7427 0.3956 2.4935
2.4711 11.4824 0.7400
C U Ac
2 2 2
Direct
0.7841 0.1019 0.3299
0.2159 0.8981 0.6701
0.6221 0.1915 0.5644
0.3779 0.8085 0.4356
0.2241 0.3772 0.1746
0.7759 0.6228 0.8254
```

- space-group type = C2/m
- M_tot (μB per atom) = 0.000

---

Entry ii
Material: AcUC
Method: DFT, PBE-GGA
State: relaxed

Geometry as POSCAR:
```
AcUC
1.0
3.2784 0.0000 0.0000
0.0000 3.2784 0.0000
-1.6392 -1.6392 6.2866
Ac U C
1 1 1
Direct
0.9797 0.9797 0.9593
0.7296 0.7296 0.4593
0.2907 0.2907 0.5814
```

- space-group type = I4mm
- M_tot (μB per atom) = 0.523

---

Entry iii
Material: AcUC
Method: DFT, PBE-GGA
State: relaxed

Geometry as POSCAR:
```
AcUC
1.0
3.6060 0.0000 0.0000
-1.8030 3.1228 0.0000
0.0000 0.0000 6.5779
Ac U C
1 1 1
Direct
0.0000 0.0000 0.9176
0.6667 0.3333 0.4567
0.3333 0.6667 0.6257
```

- space-group type = P3m1
- M_tot (μB per atom) = 0.801

---

It is entry ii that is the least stable of them.

---

Entry i
Material: Ca5Ac3
Method: DFT, PBE-GGA
State: relaxed

Geometry as POSCAR:
```
Ca5Ac3
1.0
3.8253 -0.1456 0.0000
-1.4247 3.5531 0.0000
0.0000 0.0000 25.9282
Ca Ac
5 3
Direct
0.5000 0.5000 0.7454
0.0000 0.0000 0.6227
0.5000 0.5000 0.5000
0.0000 0.0000 0.3773
0.5000 0.5000 0.2546
0.0000 0.0000 0.1276
0.5000 0.5000 0.0000
0.0000 0.0000 0.8724
```

- space-group type = Cmmm
- M_tot (μB per atom) = 0.001

---

Entry ii
Material: Ca5Ac3
Method: DFT, PBE-GGA
State: relaxed

Geometry as POSCAR:
```
Ca5Ac3
1.0
-0.4010 3.9572 0.1620
-3.6158 -0.1499 -5.2882
-11.1798 -1.4475 7.6852
Ca Ac
5 3
Direct
0.0000 0.0000 0.9608
0.5000 0.0000 0.2092
0.0000 0.0000 0.4563
0.5000 0.5000 0.0429
0.0000 0.5000 0.2876
0.5000 0.0000 0.7105
0.5000 0.5000 0.5422
0.0000 0.5000 0.7905
```

- space-group type = Pmm2
- M_tot (μB per atom) = 0.000

---

It is entry i that is the least stable of them.